[1]
The following is a GGA-PBE calculation of a geometry-optimized BaTlPtW2 structure, from Alexandria.

Unit cell a=5.3204 b=5.3204 c=5.3191 alpha=90.00 beta=90.00 gamma=90.00
Closest atoms and distances in Å follow each position.
Positions (direct):
1 Ba 0.0000 0.0000 0.0000  2 Pt 2.66, 4 W 2.66
2 Tl 0.5000 0.5000 0.5000  8 W 3.76, 4 Pt 3.76
3 Pt 0.0000 0.0000 0.5000  2 Ba 2.66
4 W 0.0000 0.5000 0.0000  2 Ba 2.66
5 W 0.5000 0.0000 0.0000  2 Ba 2.66

Results
DFT total energy, eV/atom: -4.187
Energy of formation from the pure elements, eV/atom: 3.06
DOS(E_F), states/eV per cell: 4.534

---

[2]
The following is a GGA-PBE calculation of a geometry-optimized Y5TmHg4 structure, from Alexandria.

Unit cell a=3.6849 b=3.6849 c=20.0267 alpha=90.00 beta=90.00 gamma=90.00
Closest atoms and distances in Å follow each position.
Positions (direct):
1 Y 0.0000 0.0000 0.0000  8 Hg 3.22
2 Y 0.0000 0.0000 0.1886  8 Hg 3.21-3.25
3 Y 0.0000 0.0000 0.3791  4 Hg 3.21, 4 Tm 3.56
4 Y 0.0000 0.0000 0.6209  4 Hg 3.21, 4 Tm 3.56
5 Y 0.0000 0.0000 0.8114  8 Hg 3.21-3.25
6 Tm 0.5000 0.5000 0.5000  8 Y 3.56, 4 Tm 3.68
7 Hg 0.5000 0.5000 0.0948  8 Y 3.21-3.22
8 Hg 0.5000 0.5000 0.2855  8 Y 3.21-3.25
9 Hg 0.5000 0.5000 0.7145  8 Y 3.21-3.25
10 Hg 0.5000 0.5000 0.9052  8 Y 3.21-3.22

Results
DFT total energy, eV/atom: -4.192
Energy of formation from the pure elements, eV/atom: -0.39
DOS(E_F), states/eV per cell: 10.995

---

[3]
The following is a GGA-PBE calculation of a geometry-optimized NbRePt structure, from Alexandria.

Unit cell a=4.5028 b=4.5028 c=5.5414 alpha=90.00 beta=90.00 gamma=120.00
Closest atoms and distances in Å follow each position.
Positions (direct):
1 Nb 0.0000 0.0000 0.0000  5 Pt 2.60-2.81
2 Nb 0.3333 0.6667 0.7327  5 Re 2.67-2.93, 6 Pt 2.92-2.98, 3 Nb 2.99
3 Re 0.3333 0.6667 0.2503  5 Nb 2.67-2.95, 3 Re 2.91, 6 Pt 2.93-2.96
4 Re 0.6667 0.3333 0.4871  5 Pt 2.60-2.81
5 Pt 0.0000 0.0000 0.4925  3 Re 2.60, 2 Nb 2.73-2.81
6 Pt 0.6667 0.3333 0.9937  3 Nb 2.60, 2 Re 2.73-2.81

Results
DFT total energy, eV/atom: -9.725
Energy of formation from the pure elements, eV/atom: -0.21
DOS(E_F), states/eV per cell: 4.430

---

[4]
The following is a GGA-PBE calculation of a geometry-optimized Li2FeRu structure, from Alexandria.

Unit cell a=2.4823 b=2.4823 c=8.7087 alpha=90.00 beta=90.00 gamma=90.00
Closest atoms and distances in Å follow each position.
Positions (direct):
1 Li 0.0000 0.0000 0.2483  4 Li 2.48
2 Li 0.0000 0.0000 0.7517  4 Li 2.48
3 Fe 0.5000 0.5000 0.5000  4 Fe 2.48
4 Ru 0.5000 0.5000 0.0000  4 Ru 2.48

Results
DFT total energy, eV/atom: -5.087
Energy of formation from the pure elements, eV/atom: 0.30
DOS(E_F), states/eV per cell: 4.265

---

[5]
The following is a GGA-PBE calculation of a geometry-optimized BaPaBiO5 structure, from Alexandria.

Unit cell a=6.5698 b=6.5698 c=8.5718 alpha=106.67 beta=106.67 gamma=101.54
Closest atoms and distances in Å follow each position.
Positions (direct):
1 Ba 0.0700 0.9300 0.7500  6 O 2.69-2.99
2 Ba 0.9300 0.0700 0.2500  6 O 2.69-2.99
3 Pa 0.0000 0.5000 0.0000  6 O 2.17-2.22
4 Pa 0.5000 0.0000 0.5000  6 O 2.17-2.22
5 Bi 0.4535 0.5465 0.7500  4 O 2.14-2.36
6 Bi 0.5465 0.4535 0.2500  4 O 2.14-2.36
7 O 0.1735 0.2645 0.0549  1 Pa 2.17, 1 Bi 2.36
8 O 0.2261 0.6210 0.8776  1 Bi 2.14, 1 Pa 2.20
9 O 0.2256 0.7744 0.2500  2 Pa 2.22
10 O 0.2645 0.1735 0.5549  1 Pa 2.17, 1 Bi 2.36
11 O 0.3790 0.7739 0.6224  1 Bi 2.14, 1 Pa 2.20
12 O 0.6210 0.2261 0.3776  1 Bi 2.14, 1 Pa 2.20
13 O 0.7355 0.8265 0.4451  1 Pa 2.17, 1 Bi 2.36
14 O 0.7744 0.2256 0.7500  2 Pa 2.22
15 O 0.7739 0.3790 0.1224  1 Bi 2.14, 1 Pa 2.20
16 O 0.8265 0.7355 0.9451  1 Pa 2.17, 1 Bi 2.36

Results
Formation energy without anion corrections, eV per atom: -2.675
DFT total energy, eV/atom: -7.687
DOS(E_F), states/eV per cell: 0.000

---

[6]
The following is a GGA-PBE calculation of a geometry-optimized Zr5TiSb4 structure, from Alexandria.

Unit cell a=8.6976 b=8.6976 c=6.9949 alpha=105.49 beta=105.49 gamma=28.26
Closest atoms and distances in Å follow each position.
Positions (direct):
1 Zr 0.0000 0.0000 0.0000  4 Sb 2.89, 4 Zr 3.18
2 Zr 0.2782 0.2782 0.1838  4 Sb 2.93-3.28, 4 Zr 3.23-3.27
3 Zr 0.3627 0.3627 0.7928  5 Sb 2.94-3.29, 4 Zr 3.18-3.23
4 Zr 0.6373 0.6373 0.2072  5 Sb 2.94-3.29, 4 Zr 3.18-3.23
5 Zr 0.7218 0.7218 0.8162  4 Sb 2.93-3.28, 4 Zr 3.23-3.27
6 Ti 0.0000 0.0000 0.5000  6 Sb 2.79-2.87
7 Sb 0.1712 0.1712 0.5104  1 Ti 2.87, 4 Zr 2.94-2.97
8 Sb 0.4566 0.4566 0.2331  2 Ti 2.79, 5 Zr 2.89-3.10
9 Sb 0.5434 0.5434 0.7669  2 Ti 2.79, 5 Zr 2.89-3.10
10 Sb 0.8288 0.8288 0.4896  1 Ti 2.87, 4 Zr 2.94-2.97

Results
Formation energy without anion corrections, eV per atom: -0.297
DFT total energy, eV/atom: -7.009
DOS(E_F), states/eV per cell: 7.709

---

[7]
The following is a GGA-PBE calculation of a geometry-optimized Cu4TeSe5 structure, from Alexandria.

Unit cell a=7.1231 b=11.1098 c=6.4935 alpha=90.00 beta=90.00 gamma=90.00
Closest atoms and distances in Å follow each position.
Positions (direct):
1 Cu 0.0714 0.2500 0.0745  3 Se 2.32-2.40, 1 Cu 2.54
2 Cu 0.2500 0.0629 0.5619  5 Se 2.47-2.57
3 Cu 0.2500 0.4371 0.5619  5 Se 2.47-2.57
4 Cu 0.4286 0.2500 0.0745  3 Se 2.32-2.40, 1 Cu 2.54
5 Cu 0.5714 0.7500 0.9255  3 Se 2.32-2.40, 1 Cu 2.54
6 Cu 0.7500 0.5629 0.4381  5 Se 2.47-2.57
7 Cu 0.7500 0.9371 0.4381  5 Se 2.47-2.57
8 Cu 0.9286 0.7500 0.9255  3 Se 2.32-2.40, 1 Cu 2.54
9 Te 0.2500 0.7500 0.4996  4 Se 2.70
10 Te 0.7500 0.2500 0.5004  4 Se 2.70
11 Se 0.0104 0.5948 0.6837  3 Cu 2.40-2.57
12 Se 0.0104 0.9052 0.6837  3 Cu 2.40-2.57
13 Se 0.2500 0.2500 0.7759  4 Cu 2.32-2.50
14 Se 0.4896 0.5948 0.6837  3 Cu 2.40-2.57
15 Se 0.4896 0.9052 0.6837  3 Cu 2.40-2.57
16 Se 0.5104 0.0948 0.3163  3 Cu 2.40-2.57
17 Se 0.5104 0.4052 0.3163  3 Cu 2.40-2.57
18 Se 0.7500 0.7500 0.2241  4 Cu 2.32-2.50
19 Se 0.9896 0.0948 0.3163  3 Cu 2.40-2.57
20 Se 0.9896 0.4052 0.3163  3 Cu 2.40-2.57

Results
Formation energy without anion corrections, eV per atom: 0.028
DFT total energy, eV/atom: -3.667
DOS(E_F), states/eV per cell: 3.709

---

[8]
The following is a GGA-PBE calculation of a geometry-optimized SiPt2Rh structure, from Alexandria.

Unit cell a=8.4752 b=8.4752 c=8.4752 alpha=19.45 beta=19.45 gamma=19.45
Closest atoms and distances in Å follow each position.
Positions (direct):
1 Si 0.0000 0.0000 0.0000  6 Pt 2.48
2 Pt 0.2595 0.2595 0.2595  3 Si 2.48
3 Pt 0.7405 0.7405 0.7405  3 Si 2.48
4 Rh 0.5000 0.5000 0.5000  6 Pt 2.84, 6 Rh 2.86

Results
Formation energy without anion corrections, eV per atom: -0.247
DFT total energy, eV/atom: -6.461
DOS(E_F), states/eV per cell: 4.608